The following is a DFT calculation (GGA+U) of an optimized crystal structure of ScCrOF2.

Properties
Space group ... P4/mmm
Spin magnetization ... 0.997 μB per atom
Calculated total energy ... -6.46 eV/atom
DOS(E_F) ... 0.660 states/eV/atom
ΔE to the lowest computed polymorph ... 619.9 meV per atom

Cell: 4.0875 4.0875 3.9777 Å, 90.00 90.00 90.00°
Fractional coordinates of all 5 atoms:
Sc1 0.0000 0.0000 0.0000
Cr1 0.5000 0.5000 0.5000
O1 0.5000 0.5000 0.0000
F1 0.0000 0.5000 0.5000
F2 0.5000 0.0000 0.5000